# 1
The following is a GGA-PBEsol calculation of a relaxed structure of Zr2ScIn, from the Alexandria database.

Results
The calculated total energy comes out at -7.164 eV/atom. As for the theoretical density: 6.52 g/cm³. The value obtained for the energy of formation from the pure elements is -0.89 eV/f.u. The total magnetic moment is 0.0 Bohr magnetons per cell. The calculated volume comes out at 87 Å³/cell. Its space group is Pmm2 (25).

Cell lengths 3.203, 4.196, 6.482 Å; angles 90.00, 90.00, 90.00 degrees
Fractional coordinates of all 4 atoms:
In (0.000, 0.000, 0.502)
Zr (0.500, 0.500, 0.247)
Sc (0.500, 0.500, 0.747)
Zr (0.000, 0.000, 0.004)

# 2
The following is a GGA-PBEsol calculation of a relaxed structure of Mn2Si, from the Alexandria database.

Results
The calculated total energy comes out at -8.816 eV/atom. As for the theoretical density: 7.33 g/cm³. The total magnetic moment is 0.0 Bohr magnetons per cell. The calculated volume comes out at 31 Å³/cell. Its space group is I4/mmm (139).

Cell lengths 2.708, 2.708, 4.672 Å; angles 106.85, 106.85, 90.00 degrees
Fractional coordinates of all 3 atoms:
Mn (0.665, 0.665, 0.331)
Si (0.000, 0.000, 0.000)
Mn (0.335, 0.335, 0.669)

# 3
The following is a GGA-PBEsol calculation of a relaxed structure of H2PtPbI6O19, from the Alexandria database.

Results
The calculated total energy comes out at -4.906 eV/atom. As for the theoretical density: 6.07 g/cm³. The total magnetic moment is 0.0 Bohr magnetons per cell. The calculated volume comes out at 402 Å³/cell. Its space group is P1 (1).

Cell lengths 7.518, 7.415, 7.436 Å; angles 97.63, 96.52, 98.67 degrees
Fractional coordinates of all 29 atoms:
H (0.679, 0.548, 0.519)
O (0.079, 0.342, 0.097)
O (0.856, 0.866, 0.465)
O (0.472, 0.373, 0.838)
O (0.073, 0.693, 0.659)
O (0.461, 0.223, 0.454)
O (0.733, 0.062, 0.192)
O (0.475, 0.859, 0.867)
I (0.105, 0.416, 0.864)
O (0.354, 0.850, 0.446)
Pt (0.271, 0.276, 0.270)
O (0.618, 0.610, 0.616)
O (0.872, 0.459, 0.852)
H (0.557, 0.513, 0.680)
O (0.192, 0.447, 0.462)
O (0.450, 0.474, 0.205)
I (0.414, 0.054, 0.624)
O (0.659, 0.071, 0.667)
I (0.630, 0.418, 0.055)
O (0.832, 0.471, 0.371)
O (0.189, 0.737, 0.054)
O (0.356, 0.108, 0.079)
O (0.695, 0.666, 0.070)
O (0.097, 0.074, 0.335)
I (0.051, 0.634, 0.412)
Pb (0.824, 0.833, 0.819)
I (0.419, 0.869, 0.101)
I (0.870, 0.104, 0.418)
O (0.065, 0.183, 0.732)

# 4
The following is a GGA-PBEsol calculation of a relaxed structure of Ba2CdP, from the Alexandria database.

Results
The calculated total energy comes out at -2.928 eV/atom. As for the theoretical density: 5.84 g/cm³. The value obtained for the energy of formation from the pure elements is -0.43 eV/f.u. The total magnetic moment is 0.0 Bohr magnetons per cell. The calculated volume comes out at 119 Å³/cell. Its space group is F-43m (216). The value obtained for the energy above the most stable polymorph in this dataset is 232 meV/atom.

Cell lengths 5.519, 5.519, 5.519 Å; angles 60.00, 60.00, 60.00 degrees
Fractional coordinates of all 4 atoms:
P (0.250, 0.250, 0.250)
Ba (0.750, 0.750, 0.750)
Cd (0.500, 0.500, 0.500)
Ba (0.000, 0.000, 0.000)